## KNdIr (PBE)

Data for crystalline KNdIr at its relaxed geometry.

a = 4.990 Å, b = 4.990 Å, c = 4.990 Å
α = 60.00°, β = 60.00°, γ = 60.00°
Element x y z (fractional)
K1 0.000 0.000 0.000
Nd1 0.500 0.500 0.500
Ir1 0.750 0.750 0.750

Values from the calculation:
Calculated total energy ... -4.66 eV per atom
Crystal system ... cubic
Space-group type ... F-43m, No. 216